No. 1
A plane-wave DFT calculation with GGA-PBE was carried out for crystalline La8Ge3PCl4 at its relaxed geometry.

abc: 8.556 8.556 8.556
angles: 61.16 61.16 61.16
Fractional coordinates of all 16 atoms:
La1 0.246 0.246 0.246
La2 0.250 0.741 0.741
La3 0.259 0.259 0.750
La4 0.259 0.750 0.259
La5 0.741 0.250 0.741
La6 0.741 0.741 0.250
La7 0.750 0.259 0.259
La8 0.754 0.754 0.754
Ge1 0.000 0.000 0.500
Ge2 0.000 0.500 0.000
Ge3 0.500 0.000 0.000
P1 0.500 0.500 0.500
Cl1 0.000 0.000 0.000
Cl2 0.000 0.500 0.500
Cl3 0.500 0.000 0.500
Cl4 0.500 0.500 0.000

Values from the calculation:
VASP energy = -5.56 eV per atom
Uncorrected formation energy = -138.2 kJ per mole of atoms

No. 2
A plane-wave DFT calculation with GGA-PBE was carried out for crystalline CrNiAsSe2 at its relaxed geometry.

abc: 4.667 4.667 4.633
angles: 90.00 90.00 90.00
Fractional coordinates of all 5 atoms:
Cr1 0.000 0.000 0.000
Ni1 0.500 0.500 0.500
As1 0.000 0.000 0.500
Se1 0.000 0.500 0.000
Se2 0.500 0.000 0.000

Values from the calculation:
VASP energy = -4.72 eV per atom
Uncorrected formation energy = 66.4 kJ per mole of atoms
Polymorph energy (0 for the lowest one) = 0.000 eV/f.u.

No. 3
A plane-wave DFT calculation with GGA-PBE was carried out for crystalline BaCa2Tb at its relaxed geometry.

abc: 6.253 6.253 4.298
angles: 90.00 90.00 90.00
Fractional coordinates of all 4 atoms:
Ba1 0.000 0.000 0.000
Ca1 0.000 0.500 0.500
Ca2 0.500 0.000 0.500
Tb1 0.500 0.500 0.000

Values from the calculation:
ΔE_f = 0.168 eV/atom
VASP energy = -2.47 eV per atom
Polymorph energy (0 for the lowest one) = 0.228 eV/f.u.

Please write out number 2 again, unchanged.
A plane-wave DFT calculation with GGA-PBE was carried out for crystalline CrNiAsSe2 at its relaxed geometry.

abc: 4.667 4.667 4.633
angles: 90.00 90.00 90.00
Fractional coordinates of all 5 atoms:
Cr1 0.000 0.000 0.000
Ni1 0.500 0.500 0.500
As1 0.000 0.000 0.500
Se1 0.000 0.500 0.000
Se2 0.500 0.000 0.000

Values from the calculation:
VASP energy = -4.72 eV per atom
Uncorrected formation energy = 66.4 kJ per mole of atoms
Polymorph energy (0 for the lowest one) = 0.000 eV/f.u.

Question: What is the formula in the third record?
Answer: BaCa2Tb